The following is a DFT calculation (GGA-PBE) of a relaxed structure of Nd3Dy2Y8.

Values from the calculation:
Its density of states at the Fermi level is 1.754 states/eV per atom. Its total moment is 0.00 μB per cell. The energy above the most stable polymorph in this dataset is 0.000 eV per atom. As for the energy of formation from the pure elements: 0.138 eV/atom.

a b c (Å): 5.6530 6.9554 12.0106
angles (deg): 106.83 103.54 90.00
Last column: nearest neighbours and their distance in Å.
Fractional coordinates of all 13 atoms:
Y: 0.6893 0.1889 0.3779  4 Dy 3.45-3.56, 4 Y 3.45
Nd: 0.0000 0.7260 0.0000  3 Nd 3.14-3.41, 2 Y 3.42
Y: 0.1541 0.8918 0.3070  3 Dy 3.31-3.62, 5 Y 3.32-3.71, 1 Nd 3.42
Y: 0.1541 0.4152 0.3070  3 Dy 3.31-3.62, 5 Y 3.32-3.71, 1 Nd 3.42
Nd: 0.0000 0.2740 0.0000  3 Nd 3.14-3.41, 2 Y 3.42
Y: 0.5757 0.5752 0.1505  1 Dy 3.28, 1 Y 3.35, 4 Nd 3.64-3.65
Y: 0.8459 0.1082 0.6930  3 Dy 3.31-3.62, 5 Y 3.32-3.71, 1 Nd 3.42
Dy: 0.7227 0.7223 0.4446  11 Y 3.28-3.62
Y: 0.3107 0.8111 0.6221  4 Dy 3.45-3.56, 4 Y 3.45
Dy: 0.2773 0.2777 0.5554  11 Y 3.28-3.62
Y: 0.4243 0.4248 0.8495  1 Dy 3.28, 1 Y 3.35, 4 Nd 3.64-3.65
Y: 0.8459 0.5848 0.6930  3 Dy 3.31-3.62, 5 Y 3.32-3.71, 1 Nd 3.42
Nd: 0.5000 0.0000 0.0000  4 Nd 3.41